Here is crystalline MnBe17Nb at its relaxed geometry from Alexandria. Energies are from PBE-GGA.

CIF file:
```
data_MnBe17Nb
_cell_length_a 7.3034
_cell_length_b 7.3034
_cell_length_c 10.6764
_cell_angle_alpha 90.00
_cell_angle_beta 90.00
_cell_angle_gamma 120.00
_symmetry_space_group_name_H-M 'R 3 m'
_symmetry_Int_Tables_number 160
_symmetry_space_group_name_Hall 'R 3 -2"'
loop_
_atom_site_label
_atom_site_fract_x
_atom_site_fract_y
_atom_site_fract_z
Mn1 0.0000 0.0000 0.0000
Be1 0.0000 0.0000 0.2362
Be2 0.0000 0.0000 0.4366
Be3 0.0004 0.5002 0.4917
Be4 0.0369 0.3658 0.0052
Be5 0.1699 0.3398 0.1748
Be6 0.1713 0.3427 0.5165
Nb1 0.0000 0.0000 0.6776
```

Calculated values
E_form	-0.1453	eV per atom
density of states at the Fermi level	0.201	states/eV/atom
mass density	3.04	Mg/m³


Here is crystalline Mn2BeNb at its relaxed geometry from Alexandria. Energies are from PBE-GGA.

CIF file:
```
data_Mn2BeNb
_cell_length_a 3.9268
_cell_length_b 3.9268
_cell_length_c 3.2483
_cell_angle_alpha 90.00
_cell_angle_beta 90.00
_cell_angle_gamma 90.00
_symmetry_space_group_name_H-M 'P 4/m m m'
_symmetry_Int_Tables_number 123
_symmetry_space_group_name_Hall '-P 4 2'
loop_
_atom_site_label
_atom_site_fract_x
_atom_site_fract_y
_atom_site_fract_z
Mn1 0.0000 0.5000 0.0000
Be1 0.0000 0.0000 0.5000
Nb1 0.5000 0.5000 0.5000
```

Calculated values
E_form	-0.0188	eV per atom
density of states at the Fermi level	0.494	states/eV/atom
mass density	7.02	Mg/m³


- Look up the density of states at the Fermi level of the first one.
  0.201 states/eV/atom


- Which value of mass density does entry 2 give?
  7.02 Mg/m³


- Which value of mass density does entry 2 give?
  7.02 Mg/m³